Material: AcEr
Method: DFT, GGA-PBE
State: optimized geometry

Calculated values
formation energy	8	kJ/mol of atoms
energy above the most stable polymorph in this dataset	4.6	meV/atom
mass density	8.781	g/cm3

Structure (POSCAR):
```
AcEr
1.0
4.209 0.000 0.000
0.000 4.209 0.000
0.000 0.000 4.209
Ac Er
1 1
Cartesian
0.000 0.000 0.000
2.104 2.104 2.104
```